No. 1
VASP calculation (PBE) on crystalline Pu2Fe3Pt at its relaxed geometry.

a = 5.281 Å, b = 5.281 Å, c = 5.281 Å
α = 58.16°, β = 58.16°, γ = 58.16°
Atoms (fractional coordinates):
Pu 0.122 0.122 0.122
Pu 0.878 0.878 0.878
Fe 0.000 0.500 0.500
Fe 0.500 0.000 0.500
Fe 0.500 0.500 0.000
Pt 0.500 0.500 0.500

electronic total energy = -10.3259 eV per atom
E_form = -0.31 eV per atom
M_tot = 4.3 Bohr magnetons per cell

---

No. 2
VASP calculation (PBE) on crystalline Pu2FeSi4Pt3 at its relaxed geometry.

a = 4.130 Å, b = 4.130 Å, c = 9.977 Å
α = 90.00°, β = 90.00°, γ = 90.00°
Atoms (fractional coordinates):
Pu 0.000 0.500 0.249
Pu 0.500 0.000 0.751
Fe 0.500 0.500 0.000
Si 0.000 0.000 0.500
Si 0.000 0.500 0.873
Si 0.500 0.000 0.127
Si 0.500 0.500 0.500
Pt 0.000 0.000 0.000
Pt 0.000 0.500 0.629
Pt 0.500 0.000 0.371

electronic total energy = -8.4837 eV per atom
raw formation energy = -0.79 eV per atom
M_tot = 10.4 Bohr magnetons per cell

---

No. 3
VASP calculation (PBE) on crystalline Pu2FeSi6Pt at its relaxed geometry.

a = 12.643 Å, b = 12.643 Å, c = 12.643 Å
α = 26.48°, β = 26.48°, γ = 26.48°
Atoms (fractional coordinates):
Pu 0.122 0.122 0.122
Pu 0.282 0.282 0.282
Pu 0.718 0.718 0.718
Pu 0.878 0.878 0.878
Fe 0.000 0.000 0.000
Fe 0.500 0.500 0.500
Si 0.072 0.665 0.665
Si 0.191 0.191 0.767
Si 0.191 0.767 0.191
Si 0.233 0.809 0.809
Si 0.335 0.335 0.928
Si 0.335 0.928 0.335
Si 0.665 0.072 0.665
Si 0.665 0.665 0.072
Si 0.767 0.191 0.191
Si 0.809 0.233 0.809
Si 0.809 0.809 0.233
Si 0.928 0.335 0.335
Pt 0.423 0.423 0.423
Pt 0.577 0.577 0.577

electronic total energy = -7.9188 eV per atom
raw formation energy = -0.35 eV per atom
M_tot = 2.7 Bohr magnetons per cell

---

No. 4
VASP calculation (PBE) on crystalline RbFePt3 at its relaxed geometry.

a = 5.049 Å, b = 5.049 Å, c = 5.049 Å
α = 90.00°, β = 90.00°, γ = 90.00°
Atoms (fractional coordinates):
Rb 0.000 0.000 0.000
Fe 0.500 0.500 0.500
Pt 0.000 0.000 0.500
Pt 0.000 0.500 0.000
Pt 0.500 0.000 0.000

electronic total energy = -2.9965 eV per atom
E_form = 2.51 eV per atom
M_tot = 3.5 Bohr magnetons per cell

---

No. 5
VASP calculation (PBE) on crystalline RbFe2Pt at its relaxed geometry.

a = 5.028 Å, b = 5.028 Å, c = 17.160 Å
α = 90.00°, β = 90.00°, γ = 90.00°
Atoms (fractional coordinates):
Rb 0.000 0.250 0.375
Rb 0.000 0.750 0.625
Rb 0.500 0.250 0.125
Rb 0.500 0.750 0.875
Fe 0.000 0.000 0.000
Fe 0.000 0.500 0.000
Fe 0.250 0.250 0.750
Fe 0.250 0.750 0.250
Fe 0.500 0.000 0.500
Fe 0.500 0.500 0.500
Fe 0.750 0.250 0.750
Fe 0.750 0.750 0.250
Pt 0.000 0.250 0.875
Pt 0.000 0.750 0.125
Pt 0.500 0.250 0.625
Pt 0.500 0.750 0.375

electronic total energy = -5.2507 eV per atom
E_form = 0.73 eV per atom
M_tot = 26.9 Bohr magnetons per cell

---

No. 6
VASP calculation (PBE) on crystalline Rb3FePt at its relaxed geometry.

a = 6.425 Å, b = 6.425 Å, c = 6.425 Å
α = 90.00°, β = 90.00°, γ = 90.00°
Atoms (fractional coordinates):
Rb 0.000 0.000 0.500
Rb 0.000 0.500 0.000
Rb 0.500 0.000 0.000
Fe 0.500 0.500 0.500
Pt 0.000 0.000 0.000

electronic total energy = -2.6996 eV per atom
E_form = 0.78 eV per atom
M_tot = 3.0 Bohr magnetons per cell

---

No. 7
VASP calculation (PBE) on crystalline RbFePt3 at its relaxed geometry.

a = 4.796 Å, b = 4.796 Å, c = 4.796 Å
α = 90.00°, β = 90.00°, γ = 90.00°
Atoms (fractional coordinates):
Rb 0.000 0.000 0.000
Fe 0.500 0.500 0.500
Pt 0.000 0.500 0.500
Pt 0.500 0.000 0.500
Pt 0.500 0.500 0.000

electronic total energy = -4.9228 eV per atom
E_form = 0.59 eV per atom
M_tot = 4.1 Bohr magnetons per cell

---

No. 8
VASP calculation (PBE) on crystalline RbFe2Pt at its relaxed geometry.

a = 6.623 Å, b = 6.623 Å, c = 6.623 Å
α = 90.00°, β = 90.00°, γ = 90.00°
Atoms (fractional coordinates):
Rb 0.000 0.000 0.000
Rb 0.000 0.500 0.500
Rb 0.500 0.000 0.500
Rb 0.500 0.500 0.000
Fe 0.250 0.250 0.250
Fe 0.250 0.250 0.750
Fe 0.250 0.750 0.250
Fe 0.250 0.750 0.750
Fe 0.750 0.250 0.250
Fe 0.750 0.250 0.750
Fe 0.750 0.750 0.250
Fe 0.750 0.750 0.750
Pt 0.000 0.000 0.500
Pt 0.000 0.500 0.000
Pt 0.500 0.000 0.000
Pt 0.500 0.500 0.500

electronic total energy = -4.9237 eV per atom
E_form = 1.06 eV per atom
M_tot = 25.1 Bohr magnetons per cell

---

No. 9
VASP calculation (PBE) on crystalline Rb2FePt at its relaxed geometry.

a = 8.083 Å, b = 8.083 Å, c = 8.083 Å
α = 90.00°, β = 90.00°, γ = 90.00°
Atoms (fractional coordinates):
Rb 0.250 0.250 0.250
Rb 0.250 0.250 0.750
Rb 0.250 0.750 0.250
Rb 0.250 0.750 0.750
Rb 0.750 0.250 0.250
Rb 0.750 0.250 0.750
Rb 0.750 0.750 0.250
Rb 0.750 0.750 0.750
Fe 0.000 0.000 0.000
Fe 0.000 0.500 0.500
Fe 0.500 0.000 0.500
Fe 0.500 0.500 0.000
Pt 0.000 0.000 0.500
Pt 0.000 0.500 0.000
Pt 0.500 0.000 0.000
Pt 0.500 0.500 0.500

electronic total energy = -3.0401 eV per atom
E_form = 1.07 eV per atom
M_tot = 15.8 Bohr magnetons per cell

---

No. 10
VASP calculation (PBE) on crystalline RbFe2RePt at its relaxed geometry.

a = 4.490 Å, b = 4.490 Å, c = 5.081 Å
α = 90.00°, β = 90.00°, γ = 90.00°
Atoms (fractional coordinates):
Rb 0.000 0.000 0.000
Fe 0.000 0.500 0.000
Fe 0.500 0.000 0.000
Re 0.500 0.500 0.500
Pt 0.000 0.000 0.500

electronic total energy = -4.2396 eV per atom
E_form = 3.04 eV per atom
M_tot = 8.6 Bohr magnetons per cell

---

No. 11
VASP calculation (PBE) on crystalline RbFePtRh2 at its relaxed geometry.

a = 4.863 Å, b = 4.863 Å, c = 5.843 Å
α = 90.00°, β = 90.00°, γ = 90.00°
Atoms (fractional coordinates):
Rb 0.000 0.000 0.000
Fe 0.500 0.500 0.000
Pt 0.000 0.000 0.500
Rh 0.000 0.500 0.500
Rh 0.500 0.000 0.500

electronic total energy = -4.4157 eV per atom
E_form = 1.62 eV per atom
M_tot = 4.4 Bohr magnetons per cell

---

No. 12
VASP calculation (PBE) on crystalline Rb2FePtS4 at its relaxed geometry.

a = 13.487 Å, b = 12.007 Å, c = 7.312 Å
α = 84.86°, β = 62.46°, γ = 32.68°
Atoms (fractional coordinates):
Rb 0.055 0.055 0.695
Rb 0.305 0.305 0.945
Rb 0.695 0.695 0.055
Rb 0.945 0.945 0.305
Fe 0.125 0.125 0.125
Fe 0.875 0.875 0.875
Pt 0.375 0.375 0.375
Pt 0.625 0.625 0.625
S 0.047 0.309 0.392
S 0.248 0.608 0.691
S 0.309 0.047 0.752
S 0.392 0.752 0.047
S 0.608 0.248 0.953
S 0.691 0.953 0.248
S 0.752 0.392 0.309
S 0.953 0.691 0.608

electronic total energy = -4.7704 eV per atom
raw formation energy = -0.65 eV per atom
M_tot = 4.1 Bohr magnetons per cell